DFT (PBE) results for a relaxed Rb2InHgAs crystal.

Calculated formation energy, eV per atom: -0.127

Lattice parameters (Å, degrees): 6.778 6.778 5.420 90.00 90.00 90.00
Space group P4/mmm (No. 123)
Symmetry-distinct sites (fractional):
Rb (0.000, 0.500, 0.000) (multiplicity 2)
In (0.000, 0.000, 0.500) (multiplicity 1)
Hg (0.500, 0.500, 0.500) (multiplicity 1)
As (0.000, 0.000, 0.000) (multiplicity 1)